# 1
The following is a DFT calculation (GGA-PBE) of crystalline YHPd3 at its relaxed geometry.

## Properties
Space-group type: P4mm, No. 99
Fermi-level density of states, states/eV per cell: 0.85
Total moment, μB/cell: 0.00
Offset from the most stable computed form, kJ per mole of atoms: 61.4

Lattice parameters (Å, degrees): 3.9304 3.9304 6.4778 90.00 90.00 90.00
Fractional positions:
Y: 0.0000 0.0000 0.0000
H: 0.5000 0.5000 0.3060
Pd: 0.0000 0.0000 0.6135
Pd: 0.0000 0.5000 0.3096
Pd: 0.5000 0.0000 0.3096

=====

# 2
The following is a DFT calculation (GGA-PBE) of crystalline YHPd3 at its relaxed geometry.

## Properties
Space-group type: P3m1, No. 156
Fermi-level density of states, states/eV per cell: 2.50
Total moment, μB/cell: 0.00
Offset from the most stable computed form, kJ per mole of atoms: 2.6

Lattice parameters (Å, degrees): 5.8926 5.8926 4.9413 90.00 90.00 120.00
Fractional positions:
Y: 0.0000 0.0000 0.0000
Y: 0.3333 0.6667 0.5021
H: 0.0000 0.0000 0.5029
H: 0.6667 0.3333 0.8718
Pd: 0.0010 0.5005 0.9997
Pd: 0.3528 0.1764 0.4954
Pd: 0.4995 0.5005 0.9997
Pd: 0.4995 0.9990 0.9997
Pd: 0.8236 0.1764 0.4954
Pd: 0.8236 0.6472 0.4954

=====

# 3
The following is a DFT calculation (GGA-PBE) of crystalline YH3Pd at its relaxed geometry.

## Properties
Space-group type: Pm-3m, No. 221
Fermi-level density of states, states/eV per cell: 0.37
Total energy, eV per formula unit: -24.1
Total moment, μB/cell: 0.00

Lattice parameters (Å, degrees): 3.7022 3.7022 3.7022 90.00 90.00 90.00
Fractional positions:
Y: 0.0000 0.0000 0.0000
H: 0.0000 0.5000 0.5000
H: 0.5000 0.0000 0.5000
H: 0.5000 0.5000 0.0000
Pd: 0.5000 0.5000 0.5000